Entry 1:
This record from the Alexandria database describes crystalline Cu5Mo at its relaxed geometry. The functional is GGA-PBE.

Cell: 4.5121 4.5121 4.3212 Å, 90.00 90.00 120.00°
Space group P-62m (No. 189)
Asymmetric unit:
Cu: 0.0000 0.6622 0.0000 [3 per cell]
Cu: 0.3333 0.6667 0.5000 [2 per cell]
Mo: 0.0000 0.0000 0.5000 [1 per cell]

Calculated values
Excess energy over the best structure of this formula in the dataset ... 0.134 eV per atom
ΔE_f ... 0.212 eV per atom

Entry 2:
This record from the Alexandria database describes crystalline Ti5Be4Zn4 at its relaxed geometry. The functional is GGA-PBE.

Cell: 10.542 10.542 3.196 Å, 90.00 90.00 90.00°
Space group I4/m (No. 87)
Asymmetric unit:
Ti: 0.000 0.000 0.000 [2 per cell]
Ti: 0.136 0.802 0.500 [8 per cell]
Be: 0.048 0.237 0.000 [8 per cell]
Zn: 0.092 0.391 0.500 [8 per cell]

Calculated values
ΔE_f ... -0.084 eV per atom

Entry 3:
This record from the Alexandria database describes crystalline Tb3Al3Ga2 at its relaxed geometry. The functional is GGA-PBE.

Cell: 4.367 10.757 14.919 Å, 90.00 90.00 90.00°
Space group Cmcm (No. 63)
Asymmetric unit:
Tb: 0.000 0.080 0.111 [8 per cell]
Tb: 0.000 0.358 0.250 [4 per cell]
Al: 0.000 0.359 0.750 [4 per cell]
Al: 0.000 0.383 0.039 [8 per cell]
Ga: 0.000 0.211 0.607 [8 per cell]

Calculated values
ΔE_f ... -0.537 eV per atom